A crystal of BaB4O7 relaxed with PBEsol, computed with SCAN.

Results
Space-group type: No. 62
V: 106.8 Å³/f.u.
DOS at the Fermi energy: 0.0 states/eV per cell
ΔE to the lowest computed polymorph: 0 meV/atom
Formation energy (no corrections): -274.4 kJ per mole of atoms
E_tot: -588.05 eV for the cell shown

extended XYZ file:
```
48
Lattice="4.3019 0.0000 0.0000 0.0000 9.0193 0.0000 0.0000 0.0000 11.0106" Properties=species:S:1:pos:R:3 pbc="T T T"
B 0.8890 5.3181 6.8979
O 0.5428 3.5226 4.3317
O 0.5285 1.7640 5.9226
B 0.9464 7.5929 11.0065
O 3.4246 0.5733 4.3518
B 0.9464 7.5929 5.5093
B 1.2619 0.8084 6.8979
O 0.9117 1.2093 8.2579
B 3.0974 5.9361 0.0040
O 3.7591 5.4967 9.8370
B 1.2619 0.8084 9.6179
O 3.7734 7.2554 5.0879
O 1.6081 8.0323 1.1735
Ba 0.9874 5.8324 2.7526
O 0.8773 8.4461 6.6587
O 3.7591 5.4967 6.6788
O 3.7734 7.2554 0.4174
B 1.2046 3.0833 11.0065
O 3.4246 0.5733 1.1534
Ba 3.3145 3.1869 8.2579
O 3.3902 7.8101 2.7526
B 3.4129 3.7012 1.3926
O 1.2737 3.9364 6.6587
B 1.2046 3.0833 5.5093
O 0.5285 1.7640 10.5932
B 3.4129 3.7012 4.1127
O 2.6794 2.7457 0.4174
O 2.6938 0.9871 6.6788
Ba 1.1635 1.3227 2.7526
O 1.6225 6.2736 5.9226
O 3.0283 5.0829 1.1534
B 3.0400 8.2109 4.1127
B 3.0400 8.2109 1.3926
B 3.3555 1.4264 0.0040
O 0.8773 8.4461 9.8571
O 2.6794 2.7457 5.0879
Ba 3.1384 7.6966 8.2579
B 3.0974 5.9361 5.5012
O 3.0283 5.0829 4.3518
O 1.2393 5.7189 8.2579
O 1.6081 8.0323 4.3317
O 1.2737 3.9364 9.8571
O 1.6225 6.2736 10.5932
B 3.3555 1.4264 5.5012
O 2.6938 0.9871 9.8370
O 0.5428 3.5226 1.1735
O 3.0627 3.3004 2.7526
B 0.8890 5.3181 9.6179
```